Ca2TbCd8 | PBE | optimized geometry

```
data_Ca2TbCd8
_chemical_formula_sum 'Ca2 Tb1 Cd8'
_symmetry_space_group_name_H-M 'P 1'
_symmetry_Int_Tables_number 1
_symmetry_space_group_name_Hall 'P 1'
_cell_length_a 5.500
_cell_length_b 6.389
_cell_length_c 8.844
_cell_angle_alpha 69.57
_cell_angle_beta 72.39
_cell_angle_gamma 86.36
loop_
_atom_site_label
_atom_site_type_symbol
_atom_site_fract_x
_atom_site_fract_y
_atom_site_fract_z
Ca1 Ca 0.170 0.224 0.123
Ca2 Ca 0.830 0.776 0.877
Tb1 Tb 0.000 0.500 0.500
Cd1 Cd 0.230 0.735 0.096
Cd2 Cd 0.248 0.979 0.497
Cd3 Cd 0.337 0.137 0.763
Cd4 Cd 0.414 0.600 0.737
Cd5 Cd 0.586 0.400 0.263
Cd6 Cd 0.663 0.863 0.237
Cd7 Cd 0.752 0.021 0.503
Cd8 Cd 0.770 0.265 0.904
```

Properties
The formation energy comes out at -0.2350 eV per atom. The space-group type is P-1 (2).

---

Ca5TbCd4 | PBE | optimized geometry

```
data_Ca5TbCd4
_chemical_formula_sum 'Ca5 Tb1 Cd4'
_symmetry_space_group_name_H-M 'P 1'
_symmetry_Int_Tables_number 1
_symmetry_space_group_name_Hall 'P 1'
_cell_length_a 3.799
_cell_length_b 3.799
_cell_length_c 20.762
_cell_angle_alpha 90.00
_cell_angle_beta 90.00
_cell_angle_gamma 90.00
loop_
_atom_site_label
_atom_site_type_symbol
_atom_site_fract_x
_atom_site_fract_y
_atom_site_fract_z
Ca1 Ca 0.000 0.000 0.000
Ca2 Ca 0.000 0.000 0.187
Ca3 Ca 0.000 0.000 0.374
Ca4 Ca 0.000 0.000 0.626
Ca5 Ca 0.000 0.000 0.813
Tb1 Tb 0.500 0.500 0.500
Cd1 Cd 0.500 0.500 0.092
Cd2 Cd 0.500 0.500 0.282
Cd3 Cd 0.500 0.500 0.718
Cd4 Cd 0.500 0.500 0.908
```

Properties
The formation energy comes out at -0.2370 eV per atom. The space-group type is P4/mmm (123).

---

CaTb3Cd2 | PBE | optimized geometry

```
data_CaTb3Cd2
_chemical_formula_sum 'Ca2 Tb6 Cd4'
_symmetry_space_group_name_H-M 'P 1'
_symmetry_Int_Tables_number 1
_symmetry_space_group_name_Hall 'P 1'
_cell_length_a 8.432
_cell_length_b 8.432
_cell_length_c 9.165
_cell_angle_alpha 116.44
_cell_angle_beta 116.44
_cell_angle_gamma 37.93
loop_
_atom_site_label
_atom_site_type_symbol
_atom_site_fract_x
_atom_site_fract_y
_atom_site_fract_z
Ca1 Ca 0.137 0.137 0.184
Ca2 Ca 0.863 0.863 0.816
Tb1 Tb 0.060 0.060 0.714
Tb2 Tb 0.310 0.310 0.003
Tb3 Tb 0.383 0.383 0.456
Tb4 Tb 0.617 0.617 0.544
Tb5 Tb 0.690 0.690 0.997
Tb6 Tb 0.940 0.940 0.286
Cd1 Cd 0.232 0.232 0.604
Cd2 Cd 0.472 0.472 0.828
Cd3 Cd 0.528 0.528 0.172
Cd4 Cd 0.768 0.768 0.396
```

Properties
As for the offset from the most stable computed form: 38 kJ/mol of formula units. The formation energy comes out at -0.1331 eV per atom. The space-group type is C2/m (12).